(1)
First-principles (PBE) data for CsEr2CuS4 after structural relaxation, as listed in Alexandria.

a b c (Å): 3.985 7.283 13.804
angles (deg): 90.00 90.00 105.88
Fractional coordinates of all 16 atoms:
S 0.582 0.165 0.250
S 0.255 0.510 0.396
S 0.000 0.000 0.500
S 0.000 0.000 0.000
S 0.255 0.510 0.104
S 0.745 0.490 0.604
S 0.418 0.835 0.750
S 0.745 0.490 0.896
Cu 0.831 0.663 0.750
Cu 0.169 0.337 0.250
Er 0.634 0.268 0.438
Er 0.366 0.732 0.562
Er 0.366 0.732 0.938
Er 0.634 0.268 0.062
Cs 0.894 0.787 0.250
Cs 0.106 0.213 0.750

## Properties
SG: Cmcm
Total magnetization (μB/atom): 0.00
Energy (eV/atom): -5.4494
Uncorrected formation energy (kJ per mole of atoms): -157

---

(2)
First-principles (PBE) data for Dy2Zn3Pd after structural relaxation, as listed in Alexandria.

a b c (Å): 5.665 5.665 8.946
angles (deg): 113.32 113.32 75.50
Fractional coordinates of all 12 atoms:
Zn 0.166 0.166 0.835
Zn 0.164 0.164 0.329
Zn 0.836 0.836 0.671
Zn 0.669 0.669 0.835
Zn 0.834 0.834 0.165
Zn 0.331 0.331 0.165
Dy 0.743 0.257 0.000
Dy 0.250 0.750 0.500
Dy 0.750 0.250 0.500
Dy 0.257 0.743 0.000
Pd 0.333 0.333 0.665
Pd 0.667 0.667 0.335

## Properties
ΔE to the lowest computed polymorph (meV per atom): 2
SG: Fmmm
Calculated formation energy (eV per atom): -0.532
Total magnetization (μB/atom): 0.00
Energy (eV/atom): -3.5687

---

(3)
First-principles (PBE) data for RbNiI3 after structural relaxation, as listed in Alexandria.

a b c (Å): 8.109 9.001 11.734
angles (deg): 90.00 90.12 90.00
Fractional coordinates of all 20 atoms:
Rb 0.541 0.086 0.245
Rb 0.959 0.586 0.255
Rb 0.041 0.414 0.745
Rb 0.459 0.914 0.755
I 0.815 0.303 0.034
I 0.329 0.226 0.964
I 0.572 0.501 0.741
I 0.928 0.001 0.759
I 0.072 0.999 0.241
I 0.671 0.774 0.036
I 0.428 0.499 0.259
I 0.315 0.197 0.534
I 0.829 0.274 0.464
I 0.171 0.726 0.536
I 0.685 0.803 0.466
I 0.185 0.697 0.966
Ni 0.438 0.591 0.058
Ni 0.938 0.909 0.558
Ni 0.562 0.409 0.942
Ni 0.062 0.091 0.442

## Properties
SG: P2_1/c
Total magnetization (μB/atom): 0.40
Energy (eV/atom): -2.8569
Uncorrected formation energy (kJ per mole of atoms): -56